[1]
Y6Ho2Er3 | PBE-GGA | optimized geometry

Results
- D(E_F): 18.2 states/eV/cell
- Size of the total moment: 0.00 Bohr magnetons per cell
- Formation energy: 305 meV/atom
- Energy: -58.277 eV per cell
- Symmetry: No. 139

Structure (POSCAR):
```
Y6Ho2Er3
1.0
-1.7763 3.4276 2.6867
-4.0759 -2.3306 0.2784
8.3526 -8.4117 12.1364
Y Ho Er
6 2 3
Cartesian
-0.7265 -3.0657 3.4308 Y
0.4233 -0.1866 4.6349 Y
3.2268 -4.2489 11.6709 Y
2.0770 -7.1280 10.4667 Y
-0.7657 -2.5820 6.9047 Y
3.2660 -4.7326 8.1969 Y
4.9346 -7.1504 12.3846 Ho
-2.4343 -0.1642 2.7171 Ho
0.0000 0.0000 0.0000 Er
0.3520 -4.2017 9.7100 Er
2.1483 -3.1129 5.3917 Er
```


[2]
Sc3TlOs2 | PBE-GGA | optimized geometry

Results
- D(E_F): 2.4 states/eV/cell
- Size of the total moment: 0.00 Bohr magnetons per cell
- Formation energy: -415 meV/atom
- Energy: -46.309 eV per cell
- Symmetry: No. 123

Structure (POSCAR):
```
Sc3TlOs2
1.0
-0.3586 -2.8100 -1.6133
1.9383 -1.4867 2.1587
-8.5426 -2.3748 6.0350
Sc Tl Os
3 1 2
Cartesian
0.0000 0.0000 0.0000 Sc
-6.0601 -1.6847 4.2812 Sc
-2.4825 -0.6901 1.7538 Sc
-3.4814 -3.3357 3.2902 Tl
-6.4476 -4.1603 5.3857 Os
-0.5152 -2.5111 1.1947 Os
```


[3]
Ti5Ga3 | PBE-GGA | optimized geometry

Results
- D(E_F): 13.8 states/eV/cell
- Relative energy among the computed polymorphs: 0.00 eV per formula unit
- Size of the total moment: 4.79 Bohr magnetons per cell
- Formation energy: -425 meV/atom
- Energy: -103.911 eV per cell
- Symmetry: No. 140

Structure (POSCAR):
```
Ti5Ga3
1.0
-5.1193 5.1193 2.4949
5.1193 -5.1193 2.4949
5.1193 5.1193 -2.4949
Ti Ga
10 6
Cartesian
-0.8001 2.2820 2.4949 Ti
5.9194 2.8373 0.0000 Ti
4.3192 2.8373 2.4949 Ti
0.8001 2.2820 0.0000 Ti
2.2820 0.8001 2.4949 Ti
2.8373 4.3192 0.0000 Ti
7.9566 0.8001 0.0000 Ti
-2.8373 4.3192 2.4949 Ti
5.1193 0.0000 1.2475 Ti
0.0000 5.1193 1.2475 Ti
3.4387 1.6806 0.0000 Ga
1.6806 3.4387 2.4949 Ga
3.4387 -1.6806 2.4949 Ga
1.6806 6.7999 0.0000 Ga
0.0000 0.0000 3.7424 Ga
0.0000 0.0000 1.2475 Ga
```


[4]
KMg2Tc | PBE-GGA | optimized geometry

Results
- D(E_F): 2.3 states/eV/cell
- Relative energy among the computed polymorphs: 0.90 eV per formula unit
- Size of the total moment: 2.03 Bohr magnetons per cell
- Formation energy: 682 meV/atom
- Energy: -11.924 eV per cell
- Symmetry: No. 99

Structure (POSCAR):
```
KMg2Tc
1.0
-3.2978 -0.2330 -0.2986
0.3371 -0.6129 -3.2450
0.4799 -9.0428 1.7578
K Mg Tc
1 2 1
Cartesian
-1.1344 -6.9424 -0.5045 K
0.0326 -0.6143 0.1194 Mg
-1.3452 -2.9704 -1.2766 Mg
0.2061 -3.8831 0.7548 Tc
```


[5]
Sr3Tb3MgSe8 | PBE-GGA | optimized geometry

Results
- D(E_F): 3.8 states/eV/cell
- Size of the total moment: 0.00 Bohr magnetons per cell
- Energy: -75.958 eV per cell
- Symmetry: No. 166

Structure (POSCAR):
```
Sr3Tb3MgSe8
1.0
8.3346 0.0000 -0.0001
-4.1673 7.2173 -0.0259
0.0000 -4.7862 7.1469
Sr Tb Mg Se
3 3 1 8
Cartesian
0.0000 0.0000 0.0000 Sr
-2.0836 3.6086 -0.0129 Sr
2.0836 3.6086 -0.0130 Sr
4.1673 -2.3931 3.5734 Tb
2.0836 1.2155 3.5605 Tb
-2.0837 1.2155 3.5605 Tb
0.0000 -2.3931 3.5735 Mg
0.0000 2.4126 1.9072 Se
4.1672 0.0184 5.2138 Se
4.1673 2.4604 1.9784 Se
0.0000 -0.0293 5.1426 Se
6.2913 -1.2192 1.9910 Se
-2.1241 3.6502 5.1300 Se
2.0432 -1.2191 1.9910 Se
2.1240 3.6502 5.1300 Se
```


[6]
Tl3O | PBE-GGA | optimized geometry

Results
- D(E_F): 2.2 states/eV/cell
- Relative energy among the computed polymorphs: 0.00 eV per formula unit
- Size of the total moment: 0.00 Bohr magnetons per cell
- Energy: -13.296 eV per cell
- Symmetry: No. 44

Structure (POSCAR):
```
Tl3O
1.0
3.3799 0.0000 0.0000
0.0000 5.7395 0.0000
-1.6899 -2.8698 5.3507
Tl O
3 1
Cartesian
0.0000 2.1656 3.5401 Tl
1.6899 2.1246 0.0000 Tl
1.6899 -0.7041 1.8106 Tl
0.0000 0.2403 0.0000 O
```


[7]
CrGe2Mo | PBE-GGA | optimized geometry

Results
- D(E_F): 9.0 states/eV/cell
- Relative energy among the computed polymorphs: 1.03 eV per formula unit
- Size of the total moment: 5.97 Bohr magnetons per cell
- Formation energy: 477 meV/atom
- Energy: -55.566 eV per cell
- Symmetry: No. 122

Structure (POSCAR):
```
CrGe2Mo
1.0
6.8260 0.0000 0.0000
0.0000 6.8260 0.0000
3.4130 3.4130 2.8114
Cr Mo Ge
2 2 4
Cartesian
3.4130 3.4130 0.0000 Cr
3.4130 6.8260 1.4057 Cr
0.0000 0.0000 0.0000 Mo
6.8260 3.4130 1.4057 Mo
5.0499 1.7065 0.7029 Ge
1.7761 5.1195 0.7029 Ge
5.1195 5.1891 2.1086 Ge
8.5325 8.4629 2.1086 Ge
```


[8]
K3UPa2Te6 | PBE-GGA | optimized geometry

Results
- D(E_F): 14.7 states/eV/cell
- Size of the total moment: 6.99 Bohr magnetons per cell
- Energy: -63.240 eV per cell
- Symmetry: No. 12

Structure (POSCAR):
```
K3UPa2Te6
1.0
4.4152 0.0000 0.0000
0.0000 9.8969 -0.3813
-2.2076 -3.5894 9.9850
K U Pa Te
3 1 2 6
Cartesian
2.2076 4.9484 -0.1906 K
2.2076 -0.7514 6.6090 K
0.0000 7.0588 2.9948 K
2.2076 0.0000 0.0000 U
2.2076 4.2053 6.4003 Pa
0.0000 2.1021 3.2035 Pa
0.0000 6.4281 6.4516 Te
2.2076 4.3356 3.2649 Te
2.2076 -0.1207 3.1522 Te
0.0000 2.2331 0.0836 Te
2.2076 4.0743 9.5202 Te
0.0000 1.9718 6.3389 Te
```


[9]
ReOs | PBE-GGA | optimized geometry

Results
- D(E_F): 2.7 states/eV/cell
- Relative energy among the computed polymorphs: 0.57 eV per formula unit
- Size of the total moment: 0.00 Bohr magnetons per cell
- Formation energy: 191 meV/atom
- Energy: -69.885 eV per cell
- Symmetry: No. 187

Structure (POSCAR):
```
ReOs
1.0
-4.2299 -1.0223 -0.0449
2.9993 -3.1302 -0.3819
0.0833 -0.5835 5.4365
Re Os
3 3
Cartesian
0.6312 -2.7193 2.4487 Re
-1.8202 -1.7249 -0.1572 Re
0.5895 -2.4275 -0.2696 Re
0.0623 -0.4365 4.0673 Os
-1.7785 -2.0167 2.5610 Os
0.0210 -0.1470 1.3692 Os
```


[10]
Th3Ni4Ir4 | PBE-GGA | optimized geometry

Results
- D(E_F): 15.1 states/eV/cell
- Size of the total moment: 0.84 Bohr magnetons per cell
- Formation energy: -342 meV/atom
- Energy: -84.593 eV per cell
- Symmetry: No. 217

Structure (POSCAR):
```
Th3Ni4Ir4
1.0
-2.1008 -2.9340 -5.3307
-2.5624 -2.8523 5.1708
-1.7550 6.1921 -0.1253
Th Ni Ir
3 4 4
Cartesian
-2.3316 -2.8931 -0.0800 Th
-1.9279 1.6291 -2.7280 Th
-2.1587 1.6699 2.5227 Th
-0.5905 -0.6573 1.1916 Ni
-0.4044 1.4270 -0.0289 Ni
-0.4841 -0.6761 -1.2285 Ni
-4.9390 0.3124 -0.2195 Ni
-1.5196 -1.6915 3.0665 Ir
-1.2459 -1.7400 -3.1614 Ir
-1.0408 3.6722 -0.0743 Ir
-2.6119 0.1652 -0.1161 Ir
```


[11]
Li2SiSe | PBE-GGA | optimized geometry

Results
- D(E_F): 1.2 states/eV/cell
- Relative energy among the computed polymorphs: 1.72 eV per formula unit
- Size of the total moment: 0.00 Bohr magnetons per cell
- Energy: -12.915 eV per cell
- Symmetry: No. 35

Structure (POSCAR):
```
Li2SiSe
1.0
-1.0876 1.5285 1.9844
1.2676 -1.6062 1.8084
8.0914 6.0940 -0.2594
Li Se Si
2 1 1
Cartesian
8.0826 6.0873 -0.2591 Li
2.1768 1.5328 1.8295 Li
3.5314 2.6596 -0.1132 Se
6.6178 4.8775 1.6872 Si
```


[12]
LaGd2Si | PBE-GGA | optimized geometry

Results
- D(E_F): 6.1 states/eV/cell
- Relative energy among the computed polymorphs: 0.89 eV per formula unit
- Size of the total moment: 14.55 Bohr magnetons per cell
- Energy: -38.727 eV per cell
- Symmetry: No. 166

Structure (POSCAR):
```
LaGd2Si
1.0
-2.7975 -1.0205 -2.1284
-2.2989 -2.6152 1.1283
-8.0150 6.3565 4.3398
Si Gd La
1 2 1
Cartesian
-6.5557 1.3604 1.6698 Si
-5.9604 3.8946 2.8197 Gd
-7.1510 -1.1738 0.5200 Gd
0.0000 0.0000 0.0000 La
```